No. 1
Entry from OQMD via LeMat-Bulk: a geometry-optimized SmHfGe structure (PBE).

E_tot   -6.669 eV per atom

Unit cell a=4.734 b=4.734 c=4.734 alpha=60.00 beta=60.00 gamma=60.00
Fractional positions:
Ge 0.000 0.000 0.000
Hf 0.250 0.250 0.250
Sm 0.750 0.750 0.750

No. 2
Entry from OQMD via LeMat-Bulk: a geometry-optimized CsPmZn structure (PBE).

E_tot   -1.299 eV per atom

Unit cell a=5.269 b=5.269 c=5.269 alpha=60.00 beta=60.00 gamma=60.00
Fractional positions:
Cs 0.000 0.000 0.000
Pm 0.750 0.750 0.750
Zn 0.250 0.250 0.250

No. 3
Entry from OQMD via LeMat-Bulk: a geometry-optimized AcHoTe structure (PBE).

Distance to the lowest polymorph of the same formula   637.0 meV per atom

Unit cell a=5.579 b=5.579 c=5.579 alpha=60.00 beta=60.00 gamma=60.00
Fractional positions:
Ac 0.000 0.000 0.000
Ho 0.250 0.250 0.250
Te 0.750 0.750 0.750

No. 4
Entry from OQMD via LeMat-Bulk: a geometry-optimized ZrTlFePt structure (PBE).

Distance to the lowest polymorph of the same formula   148.0 meV per atom

Unit cell a=4.659 b=4.659 c=4.659 alpha=60.00 beta=60.00 gamma=60.00
Fractional positions:
Fe 0.750 0.750 0.750
Pt 0.500 0.500 0.500
Tl 0.000 0.000 0.000
Zr 0.250 0.250 0.250

No. 5
Entry from OQMD via LeMat-Bulk: a geometry-optimized LaCo structure (PBE).

Formation energy from the elements   1.20 eV per formula unit

Unit cell a=4.303 b=4.303 c=4.303 alpha=60.00 beta=60.00 gamma=60.00
Fractional positions:
Co 0.000 0.000 0.000
La 0.250 0.250 0.250

No. 6
Entry from OQMD via LeMat-Bulk: a geometry-optimized NaDyAsSe3 structure (PBE).

E_tot   -4.372 eV per atom

Unit cell a=7.618 b=7.618 c=10.234 alpha=90.00 beta=90.00 gamma=148.67
Fractional positions:
As 0.958 0.042 0.250
As 0.042 0.958 0.750
Dy 0.500 0.500 0.000
Dy 0.500 0.500 0.500
Na 0.253 0.747 0.250
Na 0.747 0.253 0.750
Se 0.862 0.138 0.049
Se 0.608 0.392 0.250
Se 0.862 0.138 0.451
Se 0.138 0.862 0.549
Se 0.392 0.608 0.750
Se 0.138 0.862 0.951

No. 7
Entry from OQMD via LeMat-Bulk: a geometry-optimized Ho6GeIr2 structure (PBE).

E_tot   -6.132 eV per atom

Unit cell a=7.548 b=7.548 c=4.474 alpha=90.00 beta=90.00 gamma=120.00
Fractional positions:
Ge 0.000 0.000 0.500
Ho 0.735 0.000 0.000
Ho 0.265 0.265 0.000
Ho 0.000 0.735 0.000
Ho 0.412 0.000 0.500
Ho 0.000 0.412 0.500
Ho 0.588 0.588 0.500
Ir 0.667 0.333 0.000
Ir 0.333 0.667 0.000

No. 8
Entry from OQMD via LeMat-Bulk: a geometry-optimized Gd2PtAu structure (PBE).

Formation energy from the elements   -4.23 eV per formula unit

Unit cell a=4.572 b=5.715 c=5.715 alpha=39.05 beta=90.00 gamma=90.00
Fractional positions:
Au 0.000 0.414 0.414
Gd 0.000 0.138 0.138
Gd 0.500 0.859 0.859
Pt 0.500 0.589 0.589

No. 9
Entry from OQMD via LeMat-Bulk: a geometry-optimized TaAlCoOs structure (PBE).

Distance to the lowest polymorph of the same formula   463.1 meV per atom

Unit cell a=4.357 b=4.357 c=4.357 alpha=60.00 beta=60.00 gamma=60.00
Fractional positions:
Al 0.000 0.000 0.000
Co 0.750 0.750 0.750
Os 0.500 0.500 0.500
Ta 0.250 0.250 0.250

No. 10
Entry from OQMD via LeMat-Bulk: a geometry-optimized ZrInCu3Te4 structure (PBE).

Distance to the lowest polymorph of the same formula   95.0 meV per atom

Unit cell a=6.548 b=6.548 c=6.548 alpha=90.00 beta=90.00 gamma=90.00
Fractional positions:
Cu 0.500 0.500 0.000
Cu 0.500 0.000 0.500
Cu 0.000 0.500 0.500
In 0.000 0.000 0.000
Te 0.262 0.262 0.262
Te 0.738 0.738 0.262
Te 0.738 0.262 0.738
Te 0.262 0.738 0.738
Zr 0.500 0.500 0.500

No. 11
Entry from OQMD via LeMat-Bulk: a geometry-optimized YCoRePb structure (PBE).

Distance to the lowest polymorph of the same formula   173.4 meV per atom

Unit cell a=4.806 b=4.806 c=4.806 alpha=60.00 beta=60.00 gamma=60.00
Fractional positions:
Co 0.750 0.750 0.750
Pb 0.000 0.000 0.000
Re 0.500 0.500 0.500
Y 0.250 0.250 0.250

No. 12
Entry from OQMD via LeMat-Bulk: a geometry-optimized RbDyZn structure (PBE).

E_tot   -1.649 eV per atom

Unit cell a=5.400 b=5.400 c=5.400 alpha=60.00 beta=60.00 gamma=60.00
Fractional positions:
Dy 0.250 0.250 0.250
Rb 0.750 0.750 0.750
Zn 0.000 0.000 0.000

No. 13
Entry from OQMD via LeMat-Bulk: a geometry-optimized Gd4I5N structure (PBE).

E_tot   -4.751 eV per atom

Unit cell a=10.638 b=10.638 c=8.547 alpha=101.41 beta=101.41 gamma=21.35
Fractional positions:
Gd 0.614 0.614 0.056
Gd 0.000 0.000 0.191
Gd 0.000 0.000 0.809
Gd 0.386 0.386 0.944
I 0.848 0.848 0.185
I 0.150 0.150 0.335
I 0.500 0.500 0.500
I 0.850 0.850 0.665
I 0.152 0.152 0.815
N 0.500 0.500 0.000

No. 14
Entry from OQMD via LeMat-Bulk: a geometry-optimized KLiTcIr structure (PBE).

Distance to the lowest polymorph of the same formula   132.6 meV per atom

Unit cell a=4.607 b=4.607 c=4.607 alpha=60.00 beta=60.00 gamma=60.00
Fractional positions:
Ir 0.250 0.250 0.250
K 0.000 0.000 0.000
Li 0.750 0.750 0.750
Tc 0.500 0.500 0.500

No. 15
Entry from OQMD via LeMat-Bulk: a geometry-optimized ZrTaAlCo structure (PBE).

Distance to the lowest polymorph of the same formula   0.0 meV per atom

Unit cell a=4.534 b=4.534 c=4.534 alpha=60.00 beta=60.00 gamma=60.00
Fractional positions:
Al 0.000 0.000 0.000
Co 0.750 0.750 0.750
Ta 0.250 0.250 0.250
Zr 0.500 0.500 0.500

No. 16
Entry from OQMD via LeMat-Bulk: a geometry-optimized K4SiMoSe6 structure (PBE).

E_tot   -4.346 eV per atom

Unit cell a=6.900 b=7.377 c=8.952 alpha=73.06 beta=72.07 gamma=67.03
Fractional positions:
K 0.603 0.199 0.125
K 0.855 0.528 0.313
K 0.159 0.457 0.674
K 0.384 0.818 0.882
Mo 0.855 0.061 0.694
Se 0.133 0.183 0.084
Se 0.337 0.617 0.275
Se 0.792 0.965 0.479
Se 0.210 0.031 0.523
Se 0.658 0.396 0.720
Se 0.871 0.806 0.923
Si 0.144 0.939 0.309

No. 17
Entry from OQMD via LeMat-Bulk: a geometry-optimized BaDyZnTe3 structure (PBE).

E_tot   -3.987 eV per atom

Unit cell a=7.784 b=7.784 c=11.440 alpha=90.00 beta=90.00 gamma=145.23
Fractional positions:
Ba 0.742 0.258 0.250
Ba 0.258 0.742 0.750
Dy 0.500 0.500 0.000
Dy 0.500 0.500 0.500
Te 0.135 0.865 0.062
Te 0.424 0.576 0.250
Te 0.135 0.865 0.438
Te 0.865 0.135 0.562
Te 0.576 0.424 0.750
Te 0.865 0.135 0.938
Zn 0.020 0.980 0.250
Zn 0.980 0.020 0.750

No. 18
Entry from OQMD via LeMat-Bulk: a geometry-optimized LiCoReSi structure (PBE).

Distance to the lowest polymorph of the same formula   116.0 meV per atom

Unit cell a=4.066 b=4.066 c=4.066 alpha=60.00 beta=60.00 gamma=60.00
Fractional positions:
Co 0.750 0.750 0.750
Li 0.250 0.250 0.250
Re 0.500 0.500 0.500
Si 0.000 0.000 0.000

No. 19
Entry from OQMD via LeMat-Bulk: a geometry-optimized Er2TmMg3Al2In structure (PBE).

E_tot   -3.485 eV per atom

Unit cell a=4.576 b=7.331 c=7.331 alpha=119.91 beta=90.00 gamma=90.00
Fractional positions:
Al 0.500 0.666 0.334
Al 0.500 0.334 0.666
Er 0.000 0.000 0.561
Er 0.000 0.561 0.000
In 0.000 0.001 0.001
Mg 0.500 0.246 0.000
Mg 0.500 0.000 0.246
Mg 0.500 0.754 0.754
Tm 0.000 0.438 0.438

No. 20
Entry from OQMD via LeMat-Bulk: a geometry-optimized ZrSc2CdN structure (PBE).

E_tot   -7.026 eV per atom

Unit cell a=4.455 b=4.455 c=4.514 alpha=90.00 beta=90.00 gamma=90.00
Fractional positions:
Cd 0.500 0.500 0.500
N 0.000 0.000 0.000
Sc 0.500 0.000 0.000
Sc 0.000 0.500 0.000
Zr 0.000 0.000 0.500

No. 21
Entry from OQMD via LeMat-Bulk: a geometry-optimized GdZnPd structure (PBE).

Formation energy from the elements   -1.49 eV per formula unit
Distance to the lowest polymorph of the same formula   249.4 meV per atom

Unit cell a=5.974 b=4.095 c=10.383 alpha=90.00 beta=90.00 gamma=90.00
Fractional positions:
Gd 0.758 0.250 0.164
Gd 0.258 0.250 0.336
Gd 0.742 0.750 0.664
Gd 0.242 0.750 0.836
Pd 0.331 0.250 0.037
Pd 0.831 0.250 0.463
Pd 0.169 0.750 0.537
Pd 0.669 0.750 0.963
Zn 0.121 0.750 0.122
Zn 0.621 0.750 0.378
Zn 0.379 0.250 0.622
Zn 0.879 0.250 0.878

No. 22
Entry from OQMD via LeMat-Bulk: a geometry-optimized HfZnTe2 structure (PBE).

E_tot   -4.126 eV per atom

Unit cell a=5.127 b=5.127 c=5.127 alpha=60.00 beta=60.00 gamma=60.00
Fractional positions:
Hf 0.500 0.500 0.500
Te 0.000 0.000 0.000
Te 0.250 0.250 0.250
Zn 0.750 0.750 0.750

No. 23
Entry from OQMD via LeMat-Bulk: a geometry-optimized LiMgCu2N2 structure (PBE).

E_tot   -4.448 eV per atom

Unit cell a=3.342 b=3.342 c=5.493 alpha=90.00 beta=90.00 gamma=90.00
Fractional positions:
Cu 0.500 0.000 0.021
Cu 0.000 0.500 0.021
Li 0.500 0.500 0.361
Mg 0.000 0.000 0.629
N 0.000 0.000 0.244
N 0.500 0.500 0.725

No. 24
Entry from OQMD via LeMat-Bulk: a geometry-optimized YSi2Tc4 structure (PBE).

E_tot   -8.916 eV per atom

Unit cell a=7.206 b=7.206 c=4.079 alpha=90.00 beta=90.00 gamma=147.02
Fractional positions:
Si 0.588 0.412 0.500
Si 0.412 0.588 0.500
Tc 0.694 0.306 0.000
Tc 0.306 0.694 0.000
Tc 0.812 0.188 0.500
Tc 0.188 0.812 0.500
Y 0.000 0.000 0.000

No. 25
Entry from OQMD via LeMat-Bulk: a geometry-optimized LiFeGeW structure (PBE).

Distance to the lowest polymorph of the same formula   0.0 meV per atom

Unit cell a=4.131 b=4.131 c=4.131 alpha=60.00 beta=60.00 gamma=60.00
Fractional positions:
Fe 0.750 0.750 0.750
Ge 0.000 0.000 0.000
Li 0.250 0.250 0.250
W 0.500 0.500 0.500

No. 26
Entry from OQMD via LeMat-Bulk: a geometry-optimized Tl4Cu3F structure (PBE).

E_tot   -2.951 eV per atom

Unit cell a=6.756 b=6.756 c=6.756 alpha=132.17 beta=132.17 gamma=69.97
Fractional positions:
Cu 0.500 0.500 0.000
Cu 0.750 0.250 0.500
Cu 0.250 0.750 0.500
F 0.000 0.000 0.000
Tl 0.240 0.240 0.000
Tl 0.760 0.760 0.000
Tl 0.500 0.000 0.500
Tl 0.000 0.500 0.500

No. 27
Entry from OQMD via LeMat-Bulk: a geometry-optimized PrSm2Ag3 structure (PBE).

Formation energy from the elements   -1.69 eV per formula unit

Unit cell a=3.708 b=3.708 c=11.243 alpha=90.00 beta=90.00 gamma=90.00
Fractional positions:
Ag 0.500 0.500 0.000
Ag 0.500 0.500 0.325
Ag 0.500 0.500 0.675
Pr 0.000 0.000 0.500
Sm 0.000 0.000 0.164
Sm 0.000 0.000 0.836